Density functional theory data (PBE) for BaGdAuSe3 after structural relaxation.

Values from the calculation:
Calculated volume = 27.5 Å³ per atom
Raw total energy = -4.897 eV/atom

abc: 10.8031 4.2645 14.3207
angles: 90.00 90.00 90.00
Element x y z (fractional)
Ba 0.7595 0.7500 0.0039
Se 0.7610 0.7500 0.3315
Ba 0.7405 0.2500 0.5039
Ba 0.2405 0.2500 0.9961
Au 0.7442 0.7500 0.7172
Se 0.7390 0.2500 0.8315
Se 0.4398 0.7500 0.8894
Au 0.2558 0.2500 0.2828
Au 0.7558 0.2500 0.2172
Gd 0.9882 0.2500 0.7485
Se 0.0602 0.2500 0.3894
Se 0.5424 0.7500 0.6140
Se 0.5602 0.2500 0.1106
Au 0.2442 0.7500 0.7828
Se 0.4576 0.2500 0.3860
Se 0.9398 0.7500 0.6106
Se 0.0424 0.7500 0.8860
Gd 0.5118 0.7500 0.2485
Se 0.2610 0.7500 0.1685
Gd 0.0118 0.7500 0.2515
Gd 0.4882 0.2500 0.7515
Se 0.2390 0.2500 0.6685
Ba 0.2595 0.7500 0.4961
Se 0.9576 0.2500 0.1140